Record 1
Compound: RbNa2NbF8
Source: Alexandria via LeMat-Bulk
Functional: PBE
Structure: optimized geometry

Cell: 5.0343 5.6253 8.1414 Å, 83.63 85.36 81.28°
Space group P-1 (No. 2)
Symmetry-distinct sites (fractional):
Rb: 0.0000 0.0000 0.0000 [1 per cell]
Na: 0.4526 0.4622 0.1985 [2 per cell]
Nb: 0.0000 0.0000 0.5000 [1 per cell]
F: 0.1956 0.7893 0.3433 [2 per cell]
F: 0.2063 0.8268 0.6789 [2 per cell]
F: 0.2565 0.2255 0.4496 [2 per cell]
F: 0.3520 0.3017 0.9855 [2 per cell]

## Properties
total magnetization	0.00	μB per atom
crystal system	triclinic
ΔE_f (raw)	-2.881	eV per atom
VASP energy	-0.387	Ry/atom

***

Record 2
Compound: Rb2NaNbF6
Source: Alexandria via LeMat-Bulk
Functional: PBE
Structure: optimized geometry

Cell: 8.8322 8.8322 8.8322 Å, 90.00 90.00 90.00°
Space group Fm-3m (No. 225)
Symmetry-distinct sites (fractional):
Rb: 0.2500 0.2500 0.2500 [8 per cell]
Na: 0.0000 0.0000 0.0000 [4 per cell]
Nb: 0.0000 0.0000 0.5000 [4 per cell]
F: 0.0000 0.0000 0.2608 [24 per cell]

## Properties
total magnetization	0.20	μB per atom
crystal system	cubic
ΔE_f (raw)	-2.763	eV per atom
VASP energy	-0.384	Ry/atom

***

Record 3
Compound: NaNbRh2F
Source: Alexandria via LeMat-Bulk
Functional: PBE
Structure: optimized geometry

Cell: 4.7358 4.7358 3.6529 Å, 90.00 90.00 90.00°
Space group P4/mmm (No. 123)
Symmetry-distinct sites (fractional):
Na: 0.0000 0.0000 0.0000 [1 per cell]
Nb: 0.5000 0.5000 0.5000 [1 per cell]
Rh: 0.0000 0.5000 0.0000 [2 per cell]
F: 0.0000 0.0000 0.5000 [1 per cell]

## Properties
total magnetization	0.00	μB per atom
crystal system	tetragonal
ΔE_f (raw)	0.601	eV per atom
VASP energy	-0.367	Ry/atom

***

Record 4
Compound: NaNb2RhF
Source: Alexandria via LeMat-Bulk
Functional: PBE
Structure: optimized geometry

Cell: 4.9581 4.9581 3.5697 Å, 90.00 90.00 90.00°
Space group P4/mmm (No. 123)
Symmetry-distinct sites (fractional):
Na: 0.0000 0.0000 0.0000 [1 per cell]
Nb: 0.0000 0.5000 0.0000 [2 per cell]
Rh: 0.5000 0.5000 0.5000 [1 per cell]
F: 0.0000 0.0000 0.5000 [1 per cell]

## Properties
total magnetization	0.00	μB per atom
crystal system	tetragonal
ΔE_f (raw)	1.020	eV per atom
VASP energy	-0.376	Ry/atom

***

Record 5
Compound: NaNbSn2F
Source: Alexandria via LeMat-Bulk
Functional: PBE
Structure: optimized geometry

Cell: 5.5469 5.5469 4.1609 Å, 90.00 90.00 90.00°
Space group P4/mmm (No. 123)
Symmetry-distinct sites (fractional):
Na: 0.0000 0.0000 0.0000 [1 per cell]
Nb: 0.5000 0.5000 0.5000 [1 per cell]
Sn: 0.0000 0.5000 0.5000 [2 per cell]
F: 0.5000 0.5000 0.0000 [1 per cell]

## Properties
total magnetization	0.00	μB per atom
crystal system	tetragonal
ΔE_f (raw)	-0.487	eV per atom
VASP energy	-0.348	Ry/atom

***

Record 6
Compound: NaNbTlF6
Source: Alexandria via LeMat-Bulk
Functional: PBE
Structure: optimized geometry

Cell: 6.0313 6.0313 11.0639 Å, 90.00 90.00 120.00°
Space group P-31c (No. 163)
Symmetry-distinct sites (fractional):
Na: 0.3333 0.6667 0.2500 [2 per cell]
Nb: 0.3333 0.6667 0.7500 [2 per cell]
Tl: 0.0000 0.0000 0.0000 [2 per cell]
F: 0.0390 0.3938 0.6533 [12 per cell]

## Properties
total magnetization	0.11	μB per atom
crystal system	trigonal
ΔE_f (raw)	-2.697	eV per atom
VASP energy	-0.402	Ry/atom